Record 1
Density functional theory data (PBE) for a geometry-optimized CaReAu2 structure.

Lattice parameters (Å, degrees): 3.5115 3.5115 6.3825 90.00 90.00 90.00
Fractional coordinates of all 4 atoms:
Ca 0.0000 0.0000 0.0000
Re 0.5000 0.5000 0.3012
Au 0.0000 0.0000 0.4844
Au 0.5000 0.5000 0.7423

Properties
The density of states at the Fermi level comes out at 1.085 states/eV per atom. The calculation puts the total moment at 0.9 μB per formula unit. Its calculated formation energy is 1.54 eV per formula unit. The calculation puts the excess energy over the best structure of this formula in the dataset at 21.1 kJ per mole of atoms.



Record 2
Density functional theory data (PBE) for a geometry-optimized Ca4ReAu structure.

Lattice parameters (Å, degrees): 6.0757 6.0757 6.0757 60.00 60.00 60.00
Fractional coordinates of all 6 atoms:
Ca 0.1240 0.1240 0.1240
Ca 0.1240 0.1240 0.6279
Ca 0.1240 0.6279 0.1240
Ca 0.6279 0.1240 0.1240
Re 0.7500 0.7500 0.7500
Au 0.5000 0.5000 0.5000

Properties
The density of states at the Fermi level comes out at 1.676 states/eV per atom. The calculation puts the total moment at 1.6 μB per formula unit. Its calculated formation energy is 6.12 eV per formula unit.



Record 3
Density functional theory data (PBE) for a geometry-optimized Ca2ReAu structure.

Lattice parameters (Å, degrees): 5.9005 5.9005 5.4486 107.31 107.31 29.52
Fractional coordinates of all 4 atoms:
Ca 0.0000 0.0000 0.0000
Ca 0.1964 0.1964 0.6143
Re 0.7553 0.7553 0.1410
Au 0.4423 0.4423 0.4730

Properties
The density of states at the Fermi level comes out at 0.779 states/eV per atom. The calculation puts the total moment at 0.0 μB per formula unit. Its calculated formation energy is 0.96 eV per formula unit. The calculation puts the excess energy over the best structure of this formula in the dataset at 0.0 kJ per mole of atoms.



Record 4
Density functional theory data (PBE) for a geometry-optimized CaReAu2 structure.

Lattice parameters (Å, degrees): 5.0407 5.0407 2.9665 90.00 90.00 101.08
Fractional coordinates of all 4 atoms:
Ca 0.0000 0.0000 0.0000
Re 0.5000 0.5000 0.0000
Au 0.0000 0.5000 0.5000
Au 0.5000 0.0000 0.5000

Properties
The density of states at the Fermi level comes out at 0.762 states/eV per atom. The calculation puts the total moment at 0.4 μB per formula unit. Its calculated formation energy is 0.67 eV per formula unit. The calculation puts the excess energy over the best structure of this formula in the dataset at 0.0 kJ per mole of atoms.



Record 5
Density functional theory data (PBE) for a geometry-optimized Ca2ReAu structure.

Lattice parameters (Å, degrees): 5.5785 5.5785 5.5785 134.05 134.05 67.00
Fractional coordinates of all 4 atoms:
Ca 0.0000 0.0000 0.0000
Ca 0.7500 0.2500 0.5000
Re 0.2500 0.7500 0.5000
Au 0.5000 0.5000 0.0000

Properties
The density of states at the Fermi level comes out at 1.010 states/eV per atom. The calculation puts the total moment at 1.7 μB per formula unit. Its calculated formation energy is 1.94 eV per formula unit. The calculation puts the excess energy over the best structure of this formula in the dataset at 23.8 kJ per mole of atoms.



Record 6
Density functional theory data (PBE) for a geometry-optimized Ca2ReAu structure.

Lattice parameters (Å, degrees): 6.3786 6.3786 6.3786 102.37 102.37 124.86
Fractional coordinates of all 8 atoms:
Ca 0.1148 0.6250 0.9898
Ca 0.3750 0.3648 0.4898
Ca 0.6352 0.1250 0.0102
Ca 0.8750 0.8852 0.5102
Re 0.2500 0.7500 0.5000
Re 0.5000 0.5000 0.0000
Au 0.0000 0.0000 0.0000
Au 0.7500 0.2500 0.5000

Properties
The density of states at the Fermi level comes out at 0.869 states/eV per atom. The calculation puts the total moment at 1.9 μB per formula unit. Its calculated formation energy is 2.66 eV per formula unit. The calculation puts the excess energy over the best structure of this formula in the dataset at 41.1 kJ per mole of atoms.



Record 7
Density functional theory data (PBE) for a geometry-optimized Ca3ReAu structure.

Lattice parameters (Å, degrees): 5.5220 5.5220 5.5220 90.00 90.00 90.00
Fractional coordinates of all 5 atoms:
Ca 0.0000 0.0000 0.5000
Ca 0.0000 0.5000 0.0000
Ca 0.5000 0.0000 0.0000
Re 0.5000 0.5000 0.5000
Au 0.0000 0.0000 0.0000

Properties
The density of states at the Fermi level comes out at 1.206 states/eV per atom. The calculation puts the total moment at 3.3 μB per formula unit. Its calculated formation energy is 3.82 eV per formula unit. The calculation puts the excess energy over the best structure of this formula in the dataset at 12.1 kJ per mole of atoms.



Record 8
Density functional theory data (PBE) for a geometry-optimized Ca2ReAu structure.

Lattice parameters (Å, degrees): 5.0602 5.0602 5.0602 60.00 60.00 60.00
Fractional coordinates of all 4 atoms:
Ca 0.2500 0.2500 0.2500
Ca 0.7500 0.7500 0.7500
Re 0.0000 0.0000 0.0000
Au 0.5000 0.5000 0.5000

Properties
The density of states at the Fermi level comes out at 1.859 states/eV per atom. The calculation puts the total moment at 2.0 μB per formula unit. Its calculated formation energy is 1.84 eV per formula unit. The calculation puts the excess energy over the best structure of this formula in the dataset at 21.4 kJ per mole of atoms.



- Look up the calculated formation energy of the fourth one.
  0.67 eV per formula unit